Material: BaMoPt
Method: DFT, PBE
State: optimized geometry

Geometry as CIF:
```
data_BaMoPt
_chemical_formula_sum 'Ba1 Mo1 Pt1'
_cell_length_a 4.3086
_cell_length_b 4.3086
_cell_length_c 5.3332
_cell_angle_alpha 90.00
_cell_angle_beta 90.00
_cell_angle_gamma 120.00
_symmetry_space_group_name_H-M 'P -6 m 2'
_symmetry_Int_Tables_number 187
_symmetry_space_group_name_Hall 'P -6 2'
loop_
_atom_site_label
_atom_site_fract_x
_atom_site_fract_y
_atom_site_fract_z
Ba1 0.0000 0.0000 0.0000
Mo1 0.6667 0.3333 0.5000
Pt1 0.3333 0.6667 0.5000
```

## Properties
Total DFT energy (no corrections): -6.091 eV/atom
Polymorph energy (0 for the lowest one): 215 meV per atom
Total magnetic moment: 0.00 μB per cell
Formation energy from the elements: 0.1736 eV/atom
V: 28.58 A^3/atom